Computed, not measured: a relaxed structure of NpSiTc2 at the PBE level of DFT.

Calculated total energy = -9.853 eV/atom
SG = P4/mmm (123)
Formation energy from raw total energies = -30 kJ/mol of formula units

abc: 3.202 3.202 6.226
angles: 90.00 90.00 90.00
Last column: magnetic moment on the atom in μB.
Fractional coordinates of all 4 atoms:
Si1 0.500 0.500 0.000  0.01
Tc1 0.000 0.000 0.224  -0.31
Tc2 0.000 0.000 0.776  -0.31
Np1 0.500 0.500 0.500  2.88